Run A
The following is a SCAN calculation of a crystal of TeAs3 relaxed with PBEsol, from Alexandria via LeMat-Bulk.

Cell and atoms, written as extended XYZ:
```
4
Lattice="3.3567 0.0000 0.0000 0.0000 3.3567 0.0000 0.0000 0.0000 7.5921" Properties=species:S:1:pos:R:3 pbc="T T T"
Te 0.0000 0.0000 0.0000
As 0.0000 0.0000 3.7961
As 1.6783 1.6783 2.3923
As 1.6783 1.6783 5.1999
```

Results
M_tot: 0.0 μB/cell

---

Run B
The following is a SCAN calculation of a crystal of TeAs3 relaxed with PBEsol, from Alexandria via LeMat-Bulk.

Cell and atoms, written as extended XYZ:
```
4
Lattice="3.7013 0.0000 0.0000 -1.8506 3.2054 0.0000 0.0000 0.0000 7.4712" Properties=species:S:1:pos:R:3 pbc="T T T"
Te 0.0000 0.0000 0.0000
As 0.0000 0.0000 3.7356
As 1.8506 1.0685 2.0525
As 1.8506 1.0685 5.4187
```

Results
M_tot: 0.0 μB/cell

---

Relative energies, meV/atom: run A 132; run B 0.

---

Run A
The following is a SCAN calculation of a crystal of Te3As relaxed with PBEsol, from Alexandria via LeMat-Bulk.

Cell and atoms, written as extended XYZ:
```
4
Lattice="5.2591 0.0000 0.0000 0.0000 4.2526 0.0000 -1.8157 0.0000 5.0134" Properties=species:S:1:pos:R:3 pbc="T T T"
Te 0.0000 0.0000 0.0000
Te 0.0791 2.1263 3.6732
Te 3.3643 2.1263 1.3403
As 1.7217 0.0000 2.5067
```

Results
M_tot: 0.0 μB/cell

---

Run B
The following is a SCAN calculation of a crystal of Te3As relaxed with PBEsol, from Alexandria via LeMat-Bulk.

Cell and atoms, written as extended XYZ:
```
4
Lattice="5.1845 0.0000 0.0000 0.0000 5.1845 0.0000 0.0000 0.0000 3.6973" Properties=species:S:1:pos:R:3 pbc="T T T"
Te 0.0000 0.0000 0.0000
Te 0.0000 2.5923 1.8487
Te 2.5923 0.0000 1.8487
As 2.5923 2.5923 0.0000
```

Results
M_tot: 0.0 μB/cell

---

Run C
The following is a SCAN calculation of a crystal of Te3As relaxed with PBEsol, from Alexandria via LeMat-Bulk.

Cell and atoms, written as extended XYZ:
```
4
Lattice="2.1101 1.2183 7.2424 -2.1101 1.2183 7.2424 0.0000 -2.4366 7.2424" Properties=species:S:1:pos:R:3 pbc="T T T"
Te 0.0000 0.0000 0.0000
Te 0.0000 0.0000 5.2489
Te 0.0000 0.0000 16.4784
As 0.0000 0.0000 10.8636
```

Results
M_tot: 0.0 μB/cell

---

Relative energies, meV/atom: run A 12; run B 356; run C 0.

---

Run A
The following is a SCAN calculation of a crystal of TlTeAs relaxed with PBEsol, from Alexandria via LeMat-Bulk.

Cell and atoms, written as extended XYZ:
```
3
Lattice="0.0000 3.5652 3.5652 3.5652 0.0000 3.5652 3.5652 3.5652 0.0000" Properties=species:S:1:pos:R:3 pbc="T T T"
Tl 0.0000 0.0000 0.0000
Te 5.3478 5.3478 5.3478
As 3.5652 3.5652 3.5652
```

Results
M_tot: 0.7 μB/cell

---

Run B
The following is a SCAN calculation of a crystal of TlTeAs relaxed with PBEsol, from Alexandria via LeMat-Bulk.

Cell and atoms, written as extended XYZ:
```
3
Lattice="5.3394 0.0000 0.0000 -2.6697 4.6241 0.0000 0.0000 0.0000 3.0971" Properties=species:S:1:pos:R:3 pbc="T T T"
Tl 0.0000 0.0000 0.0000
Te 2.6697 1.5414 1.5485
As 0.0000 3.0827 1.5485
```

Results
M_tot: 0.0 μB/cell

---

Run C
The following is a SCAN calculation of a crystal of TlTeAs relaxed with PBEsol, from Alexandria via LeMat-Bulk.

Cell and atoms, written as extended XYZ:
```
3
Lattice="-1.8919 1.8919 5.7611 1.8919 -1.8919 5.7611 1.8919 1.8919 -5.7611" Properties=species:S:1:pos:R:3 pbc="T T T"
Tl 0.0000 0.0000 0.0000
Te 0.0000 0.0000 3.3118
As 0.0000 0.0000 8.0525
```

Results
M_tot: 0.0 μB/cell

---

Relative energies, meV/atom: run A 369; run B 175; run C 0.

---

Run A
The following is a SCAN calculation of a crystal of Tl5As relaxed with PBEsol, from Alexandria via LeMat-Bulk.

Cell and atoms, written as extended XYZ:
```
6
Lattice="6.0432 0.0000 0.0000 -3.0216 5.2335 0.0000 0.0000 0.0000 5.1478" Properties=species:S:1:pos:R:3 pbc="T T T"
Tl -2.0728 3.5901 0.0000
Tl 0.9488 1.6434 0.0000
Tl 0.0000 3.4890 2.5739
Tl 3.0216 1.7445 2.5739
Tl 4.1455 0.0000 0.0000
As 0.0000 0.0000 2.5739
```

Results
M_tot: 0.0 μB/cell

---

Run B
The following is a SCAN calculation of a crystal of Tl5As relaxed with PBEsol, from Alexandria via LeMat-Bulk.

Cell and atoms, written as extended XYZ:
```
6
Lattice="2.4191 -6.9014 0.0000 2.4191 6.9014 0.0000 0.0000 0.0000 4.8557" Properties=species:S:1:pos:R:3 pbc="T T T"
Tl 0.0000 0.0000 0.0000
Tl 2.4191 4.7257 2.4278
Tl 2.4191 2.1747 0.0000
Tl 2.4191 -2.1747 0.0000
Tl 2.4191 -4.7257 2.4278
As 2.4191 0.0000 2.4278
```

Results
M_tot: 0.0 μB/cell

---

Relative energies, meV/atom: run A 38; run B 0.

---

Run A
The following is a SCAN calculation of a crystal of Tl5As relaxed with PBEsol, from Alexandria via LeMat-Bulk.

Cell and atoms, written as extended XYZ:
```
6
Lattice="5.4739 0.0000 0.0000 0.0000 1.7079 8.6408 0.0000 -1.7079 8.6408" Properties=species:S:1:pos:R:3 pbc="T T T"
Tl 0.0000 0.0000 0.0000
Tl 0.0000 0.0000 5.3781
Tl 2.7369 0.0000 1.8113
Tl 2.7369 0.0000 7.4342
Tl 2.7369 0.0000 13.1958
As 0.0000 0.0000 11.4189
```

Results
M_tot: 0.0 μB/cell

---

Run B
The following is a SCAN calculation of a crystal of Tl5As relaxed with PBEsol, from Alexandria via LeMat-Bulk.

Cell and atoms, written as extended XYZ:
```
6
Lattice="5.9099 -1.9940 0.0000 5.9099 1.9940 0.0000 -2.0015 0.0000 6.8861" Properties=species:S:1:pos:R:3 pbc="T T T"
Tl 0.0000 0.0000 0.0000
Tl 3.5924 0.0000 1.2975
Tl 2.8640 0.0000 4.4839
Tl 6.9543 0.0000 2.4022
Tl 6.2259 0.0000 5.5886
As -1.0007 0.0000 3.4430
```

Results
M_tot: 0.0 μB/cell

---

Relative energies, meV/atom: run A 48; run B 0.

---

Run A
The following is a SCAN calculation of a crystal of TlAsW2 relaxed with PBEsol, from Alexandria via LeMat-Bulk.

Cell and atoms, written as extended XYZ:
```
4
Lattice="0.0000 3.2740 3.2740 3.2740 0.0000 3.2740 3.2740 3.2740 0.0000" Properties=species:S:1:pos:R:3 pbc="T T T"
Tl 0.0000 0.0000 0.0000
As 1.6370 1.6370 1.6370
W 3.2740 3.2740 3.2740
W 4.9110 4.9110 4.9110
```

Results
M_tot: 0.0 μB/cell

---

Run B
The following is a SCAN calculation of a crystal of TlAsW2 relaxed with PBEsol, from Alexandria via LeMat-Bulk.

Cell and atoms, written as extended XYZ:
```
4
Lattice="3.0071 0.0000 0.0000 0.0000 3.9794 0.0000 -1.0835 0.0000 6.1005" Properties=species:S:1:pos:R:3 pbc="T T T"
Tl 0.0000 0.0000 0.0000
As 0.9618 0.0000 3.0502
W -0.0604 1.9897 4.2004
W 1.9839 1.9897 1.9001
```

Results
M_tot: 0.0 μB/cell

---

Relative energies, meV/atom: run A 96; run B 0.

---

Run A
The following is a SCAN calculation of a crystal of TlAs2W relaxed with PBEsol, from Alexandria via LeMat-Bulk.

Cell and atoms, written as extended XYZ:
```
4
Lattice="-2.2581 2.2581 3.5902 2.2581 -2.2581 3.5902 2.2581 2.2581 -3.5902" Properties=species:S:1:pos:R:3 pbc="T T T"
Tl 0.0000 0.0000 0.0000
As 2.2581 0.0000 1.7951
As 0.0000 2.2581 1.7951
W 0.0000 0.0000 3.5902
```

Results
M_tot: 1.6 μB/cell

---

Run B
The following is a SCAN calculation of a crystal of TlAs2W relaxed with PBEsol, from Alexandria via LeMat-Bulk.

Cell and atoms, written as extended XYZ:
```
4
Lattice="2.8818 -3.7717 0.0000 2.8818 3.7717 0.0000 0.0000 0.0000 3.3704" Properties=species:S:1:pos:R:3 pbc="T T T"
Tl 0.0000 0.0000 0.0000
As 1.4409 1.8858 1.6852
As 1.4409 -1.8858 1.6852
W 2.8818 0.0000 0.0000
```

Results
M_tot: 0.0 μB/cell

---

Relative energies, meV/atom: run A 0; run B 39.

---

Run A
The following is a SCAN calculation of a crystal of Y2TlAs relaxed with PBEsol, from Alexandria via LeMat-Bulk.

Cell and atoms, written as extended XYZ:
```
4
Lattice="0.0000 3.6399 3.6399 3.6399 0.0000 3.6399 3.6399 3.6399 0.0000" Properties=species:S:1:pos:R:3 pbc="T T T"
Y 1.8200 1.8200 1.8200
Y 5.4599 5.4599 5.4599
Tl 0.0000 0.0000 0.0000
As 3.6399 3.6399 3.6399
```

Results
M_tot: 0.0 μB/cell

---

Run B
The following is a SCAN calculation of a crystal of Y2TlAs relaxed with PBEsol, from Alexandria via LeMat-Bulk.

Cell and atoms, written as extended XYZ:
```
4
Lattice="1.9749 1.1402 7.7609 -1.9749 1.1402 7.7609 0.0000 -2.2804 7.7609" Properties=species:S:1:pos:R:3 pbc="T T T"
Y 0.0000 0.0000 5.5328
Y 0.0000 0.0000 17.7498
Tl 0.0000 0.0000 0.0000
As 0.0000 0.0000 11.6413
```

Results
M_tot: 0.0 μB/cell

---

Relative energies, meV/atom: run A 414; run B 0.

---

Run A
The following is a SCAN calculation of a crystal of TlZnAs2 relaxed with PBEsol, from Alexandria via LeMat-Bulk.

Cell and atoms, written as extended XYZ:
```
4
Lattice="2.8986 -4.6952 0.0000 2.8986 4.6952 0.0000 -0.6551 0.0000 2.9873" Properties=species:S:1:pos:R:3 pbc="T T T"
Tl 0.0000 0.0000 0.0000
Zn 2.8986 0.0000 0.0000
As 1.1218 2.3476 1.4937
As 1.1218 -2.3476 1.4937
```

Results
M_tot: 0.0 μB/cell

---

Run B
The following is a SCAN calculation of a crystal of TlZnAs2 relaxed with PBEsol, from Alexandria via LeMat-Bulk.

Cell and atoms, written as extended XYZ:
```
4
Lattice="3.7393 -1.7810 0.0000 3.7393 1.7810 0.0000 -2.4194 0.0000 6.6165" Properties=species:S:1:pos:R:3 pbc="T T T"
Tl 0.0000 0.0000 0.0000
Zn 5.3819 0.0000 1.8779
As -0.2972 0.0000 4.7846
As 3.2062 0.0000 3.0356
```

Results
M_tot: 0.0 μB/cell

---

Relative energies, meV/atom: run A 310; run B 0.

---

Run A
The following is a SCAN calculation of a crystal of TlZnAs2 relaxed with PBEsol, from Alexandria via LeMat-Bulk.

Cell and atoms, written as extended XYZ:
```
8
Lattice="-2.9195 2.9195 5.9718 2.9195 -2.9195 5.9718 2.9195 2.9195 -5.9718" Properties=species:S:1:pos:R:3 pbc="T T T"
Tl 0.0000 0.0000 0.0000
Tl 0.0000 2.9195 2.9859
Zn 2.9195 0.0000 2.9859
Zn 0.0000 0.0000 5.9718
As 1.4597 -1.2350 4.4789
As 1.6844 1.4597 1.4930
As 1.4597 4.1545 -1.4930
As 1.2350 1.4597 7.4648
```

Results
M_tot: 0.0 μB/cell

---

Run B
The following is a SCAN calculation of a crystal of TlZnAs2 relaxed with PBEsol, from Alexandria via LeMat-Bulk.

Cell and atoms, written as extended XYZ:
```
4
Lattice="1.8237 1.0529 7.4121 -1.8237 1.0529 7.4121 0.0000 -2.1058 7.4121" Properties=species:S:1:pos:R:3 pbc="T T T"
Tl 0.0000 0.0000 0.0000
Zn 0.0000 0.0000 5.4088
As 0.0000 0.0000 11.1658
As 0.0000 0.0000 17.0865
```

Results
M_tot: 0.0 μB/cell

---

Relative energies, meV/atom: run A 0; run B 90.

---

Run A
The following is a SCAN calculation of a crystal of Tl2ZnAs relaxed with PBEsol, from Alexandria via LeMat-Bulk.

Cell and atoms, written as extended XYZ:
```
4
Lattice="-2.3928 2.3928 4.0266 2.3928 -2.3928 4.0266 2.3928 2.3928 -4.0266" Properties=species:S:1:pos:R:3 pbc="T T T"
Tl 0.0000 0.0000 0.0000
Tl 0.0000 2.3928 2.0133
Zn 0.0000 0.0000 4.0266
As 2.3928 0.0000 2.0133
```

Results
M_tot: 0.0 μB/cell

---

Run B
The following is a SCAN calculation of a crystal of Tl2ZnAs relaxed with PBEsol, from Alexandria via LeMat-Bulk.

Cell and atoms, written as extended XYZ:
```
4
Lattice="2.0328 1.1736 7.0096 -2.0328 1.1736 7.0096 0.0000 -2.3473 7.0096" Properties=species:S:1:pos:R:3 pbc="T T T"
Tl 0.0000 0.0000 0.0000
Tl 0.0000 0.0000 4.5878
Zn 0.0000 0.0000 15.9100
As 0.0000 0.0000 9.5854
```

Results
M_tot: 0.0 μB/cell

---

Relative energies, meV/atom: run A 304; run B 0.

---

Run A
The following is a SCAN calculation of a crystal of ZrAs2W relaxed with PBEsol, from Alexandria via LeMat-Bulk.

Cell and atoms, written as extended XYZ:
```
4
Lattice="3.4158 0.0000 0.0000 0.0000 3.4158 0.0000 0.0000 0.0000 5.8773" Properties=species:S:1:pos:R:3 pbc="T T T"
Zr 0.0000 0.0000 0.0000
As 0.0000 0.0000 2.9979
As 1.7079 1.7079 1.1282
W 1.7079 1.7079 4.0339
```

Results
M_tot: 0.0 μB/cell

---

Run B
The following is a SCAN calculation of a crystal of ZrAs2W relaxed with PBEsol, from Alexandria via LeMat-Bulk.

Cell and atoms, written as extended XYZ:
```
4
Lattice="4.6541 -1.6403 0.0000 4.6541 1.6403 0.0000 -1.0408 0.0000 4.4423" Properties=species:S:1:pos:R:3 pbc="T T T"
Zr 0.0000 0.0000 0.0000
As 1.5609 0.0000 3.8911
As 4.1321 0.0000 2.2334
W 6.8110 0.0000 1.7718
```

Results
M_tot: 0.0 μB/cell

---

Relative energies, meV/atom: run A 0; run B 52.

---

Run A
The following is a SCAN calculation of a crystal of Y2ZnAs relaxed with PBEsol, from Alexandria via LeMat-Bulk.

Cell and atoms, written as extended XYZ:
```
4
Lattice="1.9956 1.1522 7.0190 -1.9956 1.1522 7.0190 0.0000 -2.3043 7.0190" Properties=species:S:1:pos:R:3 pbc="T T T"
Y 0.0000 0.0000 5.1182
Y 0.0000 0.0000 15.9386
Zn 0.0000 0.0000 0.0000
As 0.0000 0.0000 10.5284
```

Results
M_tot: 0.0 μB/cell

---

Run B
The following is a SCAN calculation of a crystal of Y2ZnAs relaxed with PBEsol, from Alexandria via LeMat-Bulk.

Cell and atoms, written as extended XYZ:
```
4
Lattice="3.6341 0.0000 0.0000 0.0000 3.6341 0.0000 0.0000 0.0000 6.5100" Properties=species:S:1:pos:R:3 pbc="T T T"
Y 0.0000 0.0000 1.5759
Y 0.0000 0.0000 4.9341
Zn 1.8171 1.8171 3.2550
As 1.8171 1.8171 0.0000
```

Results
M_tot: 0.6 μB/cell

---

Relative energies, meV/atom: run A 0; run B 100.

---

Run A
The following is a SCAN calculation of a crystal of Y2ZnAs relaxed with PBEsol, from Alexandria via LeMat-Bulk.

Cell and atoms, written as extended XYZ:
```
4
Lattice="0.0000 3.5027 3.5027 3.5027 0.0000 3.5027 3.5027 3.5027 0.0000" Properties=species:S:1:pos:R:3 pbc="T T T"
Y 1.7514 1.7514 1.7514
Y 5.2541 5.2541 5.2541
Zn 0.0000 0.0000 0.0000
As 3.5027 3.5027 3.5027
```

Results
M_tot: 0.0 μB/cell

---

Run B
The following is a SCAN calculation of a crystal of Y2ZnAs relaxed with PBEsol, from Alexandria via LeMat-Bulk.

Cell and atoms, written as extended XYZ:
```
4
Lattice="3.9721 0.0000 0.0000 0.0000 2.0732 5.3459 0.0000 -2.0732 5.3459" Properties=species:S:1:pos:R:3 pbc="T T T"
Y 0.0000 0.0000 0.0000
Y 1.9860 0.0000 3.0311
Zn 1.9860 0.0000 5.9759
As 0.0000 0.0000 7.7144
```

Results
M_tot: 0.0 μB/cell

---

Relative energies, meV/atom: run A 293; run B 0.